Material: Hf2TeAs2
Method: DFT, GGA-PBE
State: optimized geometry

Properties
theoretical density	10.14	g cm⁻³
ΔE to the lowest computed polymorph	0	kJ/mol of formula units
spin magnetization	0.0	μB per formula unit
crystal system	tetragonal

Lattice parameters (Å, degrees): 7.7745 7.7745 3.4378 90.00 90.00 90.00
Fractional positions:
As 0.1371 0.6371 0.5000
As 0.6371 0.8629 0.5000
As 0.8629 0.3629 0.5000
As 0.3629 0.1371 0.5000
Te 0.0000 0.0000 0.0000
Te 0.5000 0.5000 0.0000
Hf 0.3493 0.8493 0.0000
Hf 0.8493 0.6507 0.0000
Hf 0.6507 0.1507 0.0000
Hf 0.1507 0.3493 0.0000